A relaxed SrCu2Ir crystal, computed with GGA-PBE.

Lattice parameters (Å, degrees): 3.2099 3.2107 6.9872 90.00 90.00 90.00
Positions (direct):
Sr 0.5000 0.5000 0.7401
Ir 0.0000 0.0000 0.4394
Cu 0.5000 0.5000 0.2448
Cu 0.0000 0.0000 0.0756

Values from the calculation:
Space-group type: P4mm, No. 99
Calculated formation energy in eV per atom: 0.240
D(E_F) in states/eV/f.u.: 3.45